(1)
ErNpTc2 | the Alexandria database | GGA-PBE | relaxed; total energy = -9.592 eV per atom; size of the total moment = 1.50 μB per formula unit
1.0
-0.227 -1.976 2.684
-0.390 -2.656 -1.988
6.849 -0.928 -0.104
Tc Np Er
2 1 1
Direct
0.000 0.000 0.788
0.000 0.000 0.212
0.500 0.500 0.000
0.500 0.500 0.500

***

(2)
ErNpTc | the Alexandria database | GGA-PBE | relaxed; total energy = -9.049 eV per atom; size of the total moment = 3.48 μB per formula unit
1.0
-1.510 1.220 -4.706
1.602 -2.742 -3.978
-4.875 -4.250 -2.291
Er Tc Np
2 2 2
Direct
0.878 0.878 0.367
0.122 0.122 0.633
0.572 0.572 0.283
0.428 0.428 0.717
0.698 0.698 0.907
0.302 0.302 0.093